[1]
Compound: Rb2Hg2Bi
Source: the Alexandria database
Functional: GGA-PBE
Structure: optimized geometry

## Properties
- space-group type = P4/mbm
- energy above the most stable polymorph in this dataset (eV/atom) = 0.209
- D(E_F) (states/eV per atom) = 0.693
- DFT total energy (eV per atom) = -1.373
- formation enthalpy at 0 K (eV/atom) = -0.089

Lattice parameters (Å, degrees): 10.285 10.285 3.838 90.00 90.00 90.00
Atoms (fractional coordinates):
Rb 0.681 0.181 0.000
Rb 0.181 0.319 0.000
Hg 0.114 0.614 0.500
Hg 0.886 0.386 0.500
Bi 0.500 0.500 0.000
Hg 0.614 0.886 0.500
Bi 0.000 0.000 0.000
Hg 0.386 0.114 0.500
Rb 0.819 0.681 0.000
Rb 0.319 0.819 0.000

***

[2]
Compound: Rb2HgBi2
Source: the Alexandria database
Functional: GGA-PBE
Structure: optimized geometry

## Properties
- space-group type = P4/mbm
- energy above the most stable polymorph in this dataset (eV/atom) = 0.109
- D(E_F) (states/eV per atom) = 0.379
- DFT total energy (eV per atom) = -2.176
- formation enthalpy at 0 K (eV/atom) = -0.176

Lattice parameters (Å, degrees): 10.877 10.877 3.664 90.00 90.00 90.00
Atoms (fractional coordinates):
Rb 0.195 0.305 0.000
Bi 0.903 0.403 0.500
Bi 0.403 0.097 0.500
Hg 0.500 0.500 0.000
Hg 0.000 0.000 0.000
Bi 0.097 0.597 0.500
Bi 0.597 0.903 0.500
Rb 0.805 0.695 0.000
Rb 0.695 0.195 0.000
Rb 0.305 0.805 0.000

***

[3]
Compound: RbHgBi3
Source: the Alexandria database
Functional: GGA-PBE
Structure: optimized geometry

## Properties
- space-group type = Pm-3m
- energy above the most stable polymorph in this dataset (eV/atom) = 0.390
- D(E_F) (states/eV per atom) = 1.042
- DFT total energy (eV per atom) = -2.345
- formation enthalpy at 0 K (eV/atom) = 0.238

Lattice parameters (Å, degrees): 5.882 5.882 5.882 90.00 90.00 90.00
Atoms (fractional coordinates):
Rb 0.500 0.500 0.500
Hg 0.000 0.000 0.000
Bi 0.000 0.000 0.500
Bi 0.000 0.500 0.000
Bi 0.500 0.000 0.000

***

[4]
Compound: Rb2Hg2Bi
Source: the Alexandria database
Functional: GGA-PBE
Structure: optimized geometry

## Properties
- space-group type = I4/mmm
- energy above the most stable polymorph in this dataset (eV/atom) = 0.064
- D(E_F) (states/eV per atom) = 0.161
- DFT total energy (eV per atom) = -1.518
- formation enthalpy at 0 K (eV/atom) = -0.234

Lattice parameters (Å, degrees): 7.115 7.115 6.729 58.09 58.09 90.00
Atoms (fractional coordinates):
Bi 0.000 0.000 0.000
Hg 0.664 0.664 0.672
Rb 0.250 0.750 0.500
Rb 0.750 0.250 0.500
Hg 0.336 0.336 0.328

***

[5]
Compound: Rb2HgBi
Source: the Alexandria database
Functional: GGA-PBE
Structure: optimized geometry

## Properties
- space-group type = Fm-3m
- energy above the most stable polymorph in this dataset (eV/atom) = 0.054
- D(E_F) (states/eV per atom) = 0.790
- DFT total energy (eV per atom) = -1.732
- formation enthalpy at 0 K (eV/atom) = -0.203

Lattice parameters (Å, degrees): 6.287 6.287 6.287 60.00 60.00 60.00
Site moments in Bohr magnetons follow the coordinates.
Atoms (fractional coordinates):
Rb 0.250 0.250 0.250  0.01
Bi 0.500 0.500 0.500  0.55
Rb 0.750 0.750 0.750  0.01
Hg 0.000 0.000 0.000  0.02

***

[6]
Compound: Rb2Hg16Bi
Source: the Alexandria database
Functional: GGA-PBE
Structure: optimized geometry

## Properties
- space-group type = R3m
- D(E_F) (states/eV per atom) = 0.254
- DFT total energy (eV per atom) = -0.658
- formation enthalpy at 0 K (eV/atom) = -0.098

Lattice parameters (Å, degrees): 8.480 8.480 8.479 79.74 79.74 79.74
Atoms (fractional coordinates):
Hg 0.349 0.349 0.879
Hg 0.104 0.104 0.104
Hg 0.349 0.879 0.349
Hg 0.704 0.296 0.999
Hg 0.625 0.197 0.625
Rb 0.661 0.661 0.661
Hg 0.197 0.625 0.625
Hg 0.979 0.520 0.979
Hg 0.999 0.704 0.296
Bi 0.908 0.908 0.908
Rb 0.328 0.328 0.328
Hg 0.296 0.999 0.704
Hg 0.704 0.999 0.296
Hg 0.879 0.349 0.349
Hg 0.999 0.296 0.704
Hg 0.625 0.625 0.197
Hg 0.296 0.704 0.999
Hg 0.520 0.979 0.979
Hg 0.979 0.979 0.520

***

[7]
Compound: Rb3Hg2Bi
Source: the Alexandria database
Functional: GGA-PBE
Structure: optimized geometry

## Properties
- space-group type = P2_1/c
- DFT total energy (eV per atom) = -1.503
- formation enthalpy at 0 K (eV/atom) = -0.271

Lattice parameters (Å, degrees): 9.191 11.085 14.144 90.00 122.69 90.00
Atoms (fractional coordinates):
Rb 0.202 0.062 0.411
Rb 0.477 0.814 0.728
Rb 0.798 0.938 0.589
Rb 0.702 0.438 0.911
Hg 0.239 0.595 0.782
Rb 0.523 0.186 0.272
Rb 0.692 0.561 0.444
Rb 0.298 0.562 0.089
Rb 0.808 0.061 0.056
Bi 0.598 0.145 0.735
Hg 0.881 0.757 0.960
Bi 0.098 0.355 0.235
Hg 0.739 0.905 0.282
Hg 0.619 0.257 0.540
Rb 0.023 0.314 0.772
Hg 0.119 0.243 0.040
Bi 0.902 0.645 0.765
Rb 0.977 0.686 0.228
Rb 0.192 0.939 0.944
Hg 0.761 0.405 0.218
Hg 0.261 0.095 0.718
Rb 0.308 0.439 0.556
Bi 0.402 0.855 0.265
Hg 0.381 0.743 0.460

***

[8]
Compound: RbHg2BiRu
Source: the Alexandria database
Functional: GGA-PBE
Structure: optimized geometry

## Properties
- space-group type = P4/mmm
- D(E_F) (states/eV per atom) = 0.641
- DFT total energy (eV per atom) = -2.909
- formation enthalpy at 0 K (eV/atom) = 0.037

Lattice parameters (Å, degrees): 5.471 5.471 5.169 90.00 90.00 90.00
Atoms (fractional coordinates):
Hg 0.500 0.000 0.000
Hg 0.000 0.500 0.000
Ru 0.000 0.000 0.000
Bi 0.000 0.000 0.500
Rb 0.500 0.500 0.500

***

[9]
Compound: Rb2HgBiS4
Source: the Alexandria database
Functional: GGA-PBE
Structure: optimized geometry

## Properties
- space-group type = P2/m
- D(E_F) (states/eV per atom) = 1.122
- DFT total energy (eV per atom) = -3.344

Lattice parameters (Å, degrees): 3.983 8.148 7.546 70.46 90.00 90.00
Atoms (fractional coordinates):
S 0.500 0.285 0.713
Hg 0.500 0.500 0.000
Rb 0.000 0.000 0.000
S 0.000 0.674 0.781
Bi 0.000 0.500 0.500
S 0.000 0.326 0.219
S 0.500 0.715 0.287
Rb 0.500 0.000 0.500

***

[10]
Compound: Rb2Hg6BiSb
Source: the Alexandria database
Functional: GGA-PBE
Structure: optimized geometry

## Properties
- space-group type = R-3m
- D(E_F) (states/eV per atom) = 0.344
- DFT total energy (eV per atom) = -1.278

Lattice parameters (Å, degrees): 7.886 7.886 14.897 74.65 74.65 60.00
Atoms (fractional coordinates):
Hg 0.204 0.204 0.839
Sb 0.577 0.577 0.270
Hg 0.341 0.341 0.372
Hg 0.796 0.796 0.161
Rb 0.132 0.132 0.604
Hg 0.341 0.947 0.372
Hg 0.796 0.248 0.161
Hg 0.947 0.341 0.372
Hg 0.659 0.659 0.628
Hg 0.248 0.796 0.161
Hg 0.752 0.204 0.839
Rb 0.868 0.868 0.396
Rb 0.710 0.710 0.870
Hg 0.659 0.053 0.628
Rb 0.290 0.290 0.130
Hg 0.053 0.659 0.628
Sb 0.423 0.423 0.730
Hg 0.204 0.752 0.839
Bi 0.500 0.500 0.500
Bi 0.000 0.000 0.000

***

[11]
Compound: RbHg2BiSe
Source: the Alexandria database
Functional: GGA-PBE
Structure: optimized geometry

## Properties
- space-group type = P4/mmm
- D(E_F) (states/eV per atom) = 0.492
- DFT total energy (eV per atom) = -2.017

Lattice parameters (Å, degrees): 5.947 5.947 5.873 90.00 90.00 90.00
Atoms (fractional coordinates):
Bi 0.000 0.000 0.000
Rb 0.500 0.500 0.500
Se 0.000 0.000 0.500
Hg 0.000 0.500 0.000
Hg 0.500 0.000 0.000

***

[12]
Compound: RbHgBiSe3
Source: the Alexandria database
Functional: GGA-PBE
Structure: optimized geometry

## Properties
- space-group type = P2_1/m
- DFT total energy (eV per atom) = -3.182

Lattice parameters (Å, degrees): 4.369 9.413 10.400 105.90 90.00 90.00
Atoms (fractional coordinates):
Se 0.250 0.550 0.853
Hg 0.250 0.096 0.618
Se 0.750 0.450 0.147
Bi 0.250 0.664 0.127
Se 0.250 0.123 0.881
Rb 0.750 0.801 0.758
Bi 0.750 0.336 0.873
Se 0.750 0.877 0.119
Rb 0.250 0.199 0.242
Hg 0.750 0.904 0.382
Se 0.250 0.787 0.472
Se 0.750 0.213 0.528

***

[13]
Compound: Rb2Hg2BiSe4
Source: the Alexandria database
Functional: GGA-PBE
Structure: optimized geometry

## Properties
- space-group type = C2/m
- D(E_F) (states/eV per atom) = 0.118
- DFT total energy (eV per atom) = -2.811

Lattice parameters (Å, degrees): 4.415 8.230 9.041 111.34 104.13 90.00
Atoms (fractional coordinates):
Se 0.503 0.757 0.007
Rb 0.137 0.550 0.273
Se 0.803 0.831 0.605
Se 0.197 0.169 0.395
Rb 0.863 0.450 0.727
Se 0.497 0.243 0.993
Hg 0.668 0.934 0.335
Bi 0.000 0.000 0.000
Hg 0.332 0.066 0.665

***

[14]
Compound: Rb2HgBiSe4
Source: the Alexandria database
Functional: GGA-PBE
Structure: optimized geometry

## Properties
- space-group type = P2/m
- D(E_F) (states/eV per atom) = 1.163
- DFT total energy (eV per atom) = -3.063

Lattice parameters (Å, degrees): 4.149 8.506 7.792 70.91 90.00 90.00
Atoms (fractional coordinates):
Se 0.500 0.284 0.717
Se 0.500 0.716 0.283
Se 0.000 0.323 0.218
Bi 0.000 0.500 0.500
Hg 0.500 0.500 0.000
Se 0.000 0.677 0.782
Rb 0.000 0.000 0.000
Rb 0.500 0.000 0.500

***

[15]
Compound: RbSnHg2Bi
Source: the Alexandria database
Functional: GGA-PBE
Structure: optimized geometry

## Properties
- space-group type = P4/mmm
- energy above the most stable polymorph in this dataset (eV/atom) = 0.130
- D(E_F) (states/eV per atom) = 0.507
- DFT total energy (eV per atom) = -1.922
- formation enthalpy at 0 K (eV/atom) = -0.031

Lattice parameters (Å, degrees): 5.853 5.853 6.071 90.00 90.00 90.00
Atoms (fractional coordinates):
Rb 0.500 0.500 0.500
Sn 0.000 0.000 0.000
Bi 0.000 0.000 0.500
Hg 0.500 0.000 0.000
Hg 0.000 0.500 0.000

***

[16]
Compound: Rb2SnHg6Bi
Source: the Alexandria database
Functional: GGA-PBE
Structure: optimized geometry

## Properties
- space-group type = Pmmn
- D(E_F) (states/eV per atom) = 0.249
- DFT total energy (eV per atom) = -1.288
- formation enthalpy at 0 K (eV/atom) = -0.125

Lattice parameters (Å, degrees): 8.531 8.345 10.766 90.00 90.00 90.00
Atoms (fractional coordinates):
Sn 0.000 0.614 0.000
Hg 0.000 0.672 0.726
Hg 0.827 0.506 0.500
Hg 0.327 0.494 0.000
Sn 0.500 0.386 0.500
Rb 0.500 0.779 0.281
Hg 0.288 0.107 0.500
Hg 0.788 0.893 0.000
Hg 0.000 0.672 0.274
Hg 0.500 0.328 0.774
Bi 0.000 0.907 0.500
Hg 0.173 0.506 0.500
Rb 0.000 0.221 0.781
Rb 0.000 0.221 0.219
Hg 0.212 0.893 0.000
Rb 0.500 0.779 0.719
Bi 0.500 0.093 0.000
Hg 0.712 0.107 0.500
Hg 0.673 0.494 0.000
Hg 0.500 0.328 0.226

***

[17]
Compound: RbSnHg2Bi
Source: the Alexandria database
Functional: GGA-PBE
Structure: optimized geometry

## Properties
- space-group type = I-4m2
- energy above the most stable polymorph in this dataset (eV/atom) = 0.000
- D(E_F) (states/eV per atom) = 0.442
- DFT total energy (eV per atom) = -2.052
- formation enthalpy at 0 K (eV/atom) = -0.161

Lattice parameters (Å, degrees): 4.953 4.953 7.586 109.05 109.05 90.00
Atoms (fractional coordinates):
Bi 0.250 0.750 0.500
Hg 0.394 0.394 0.788
Rb 0.000 0.000 0.000
Hg 0.606 0.606 0.212
Sn 0.750 0.250 0.500

***

[18]
Compound: RbSrHg4Bi2
Source: the Alexandria database
Functional: GGA-PBE
Structure: optimized geometry

## Properties
- space-group type = P4/mmm
- D(E_F) (states/eV per atom) = 0.276
- DFT total energy (eV per atom) = -1.730
- formation enthalpy at 0 K (eV/atom) = -0.278

Lattice parameters (Å, degrees): 4.562 4.562 14.048 90.00 90.00 90.00
Atoms (fractional coordinates):
Bi 0.500 0.500 0.608
Hg 0.000 0.500 0.207
Bi 0.500 0.500 0.392
Rb 0.000 0.000 0.000
Hg 0.500 0.000 0.207
Hg 0.000 0.500 0.793
Hg 0.500 0.000 0.793
Sr 0.000 0.000 0.500

***

[19]
Compound: RbTcHg2Bi
Source: the Alexandria database
Functional: GGA-PBE
Structure: optimized geometry

## Properties
- space-group type = P4/mmm
- D(E_F) (states/eV per atom) = 0.847
- DFT total energy (eV per atom) = -2.257
- formation enthalpy at 0 K (eV/atom) = 0.907

Lattice parameters (Å, degrees): 5.394 5.394 6.417 90.00 90.00 90.00
Site moments in Bohr magnetons follow the coordinates.
Atoms (fractional coordinates):
Rb 0.000 0.000 0.500  0.04
Bi 0.500 0.500 0.500  0.88
Hg 0.000 0.500 0.000  0.02
Tc 0.000 0.000 0.000  2.59
Hg 0.500 0.000 0.000  0.02

***

[20]
Compound: Rb2Hg2BiTe4
Source: the Alexandria database
Functional: GGA-PBE
Structure: optimized geometry

## Properties
- space-group type = C2/m
- D(E_F) (states/eV per atom) = 0.082
- DFT total energy (eV per atom) = -2.589

Lattice parameters (Å, degrees): 4.681 8.581 9.453 110.22 104.34 90.00
Atoms (fractional coordinates):
Hg 0.669 0.942 0.337
Hg 0.331 0.058 0.663
Rb 0.136 0.570 0.273
Te 0.503 0.751 0.005
Te 0.805 0.828 0.610
Te 0.195 0.172 0.390
Rb 0.864 0.430 0.727
Bi 0.000 0.000 0.000
Te 0.497 0.249 0.995